DFT (GGA-PBE) results for crystalline CoNiAg2 at its relaxed geometry.

Cell and atoms, written as POSCAR:
```
CoNiAg2
1.0
4.466 0.000 0.000
0.000 4.466 0.000
0.000 0.000 2.914
Ag Co Ni
2 1 1
Cartesian
0.000 0.000 0.000
2.233 2.233 0.000
2.233 0.000 1.457
0.000 2.233 1.457
```

ΔE to the lowest computed polymorph ... 0.2517 eV/atom
DOS at the Fermi energy ... 6.5 states/eV/cell
Crystal system ... tetragonal